(one)
# ReAu2

An optimized crystal structure of ReAu2 (PBE, Alexandria via LeMat-Bulk).

size of the total moment: 0.00 μB per formula unit
crystal system: monoclinic
DOS at the Fermi energy: 0.6538 states/eV/atom

POSCAR file:
```
ReAu2
1.0
5.4302 -1.4019 0.0000
5.4302 1.4019 0.0000
-1.8369 0.0000 6.7318
Re Au
2 4
direct
0.0000 0.0000 0.0000 Re
0.6396 0.6396 0.2837 Re
0.2774 0.2774 0.0427 Au
0.3058 0.3058 0.6382 Au
0.5877 0.5877 0.7143 Au
0.9343 0.9343 0.3780 Au
```

---

(two)
# ReAu2

An optimized crystal structure of ReAu2 (PBE, Alexandria via LeMat-Bulk).

size of the total moment: 0.00 μB per formula unit
crystal system: orthorhombic
DOS at the Fermi energy: 0.4816 states/eV/atom

POSCAR file:
```
ReAu2
1.0
2.1713 -6.2842 0.0000
2.1713 6.2842 0.0000
0.0000 0.0000 3.7998
Re Au
2 4
direct
0.0617 0.9383 0.7500 Re
0.9383 0.0617 0.2500 Re
0.2474 0.7526 0.2500 Au
0.4144 0.5856 0.7500 Au
0.5856 0.4144 0.2500 Au
0.7526 0.2474 0.7500 Au
```

---

(three)
# ReAu2

An optimized crystal structure of ReAu2 (PBE, Alexandria via LeMat-Bulk).

size of the total moment: 0.90 μB per formula unit
crystal system: tetragonal
DOS at the Fermi energy: 0.7747 states/eV/atom

POSCAR file:
```
ReAu2
1.0
4.8266 0.0000 0.0000
0.0000 4.8266 0.0000
0.0000 0.0000 2.6771
Re Au
1 2
direct
0.0000 0.0000 0.0000 Re
0.0000 0.5000 0.5000 Au
0.5000 0.0000 0.5000 Au
```

---

Stability, descending: (two), (one), (three)

---

(one)
# ReAu2

An optimized crystal structure of ReAu2 (PBE, Alexandria via LeMat-Bulk).

size of the total moment: 1.97 μB per formula unit
crystal system: hexagonal
DOS at the Fermi energy: 1.0158 states/eV/atom

POSCAR file:
```
ReAu2
1.0
4.6388 0.0000 0.0000
-2.3194 4.0173 0.0000
0.0000 0.0000 5.6041
Re Au
2 4
direct
0.3333 0.6667 0.2500 Re
0.6667 0.3333 0.7500 Re
0.0000 0.0000 0.0000 Au
0.0000 0.0000 0.5000 Au
0.3333 0.6667 0.7500 Au
0.6667 0.3333 0.2500 Au
```

---

(two)
# ReAu2

An optimized crystal structure of ReAu2 (PBE, Alexandria via LeMat-Bulk).

size of the total moment: 0.00 μB per formula unit
crystal system: tetragonal
DOS at the Fermi energy: 0.7545 states/eV/atom

POSCAR file:
```
ReAu2
1.0
-3.3198 3.3198 2.4632
3.3198 -3.3198 2.4632
3.3198 3.3198 -2.4632
Re Au
2 4
direct
0.2500 0.2500 0.0000 Re
0.7500 0.7500 0.0000 Re
0.1545 0.6545 0.8091 Au
0.3455 0.1545 0.5000 Au
0.6545 0.8455 0.5000 Au
0.8455 0.3455 0.1909 Au
```

---

Stability, descending: (two), (one)

---

(one)
# Re5Au

An optimized crystal structure of Re5Au (PBE, Alexandria via LeMat-Bulk).

size of the total moment: 0.00 μB per formula unit
crystal system: cubic
DOS at the Fermi energy: 0.6601 states/eV/atom

POSCAR file:
```
Re5Au
1.0
0.0000 3.6453 3.6453
3.6453 0.0000 3.6453
3.6453 3.6453 0.0000
Re Au
5 1
direct
0.0000 0.0000 0.0000 Re
0.3758 0.3758 0.3758 Re
0.3758 0.3758 0.8726 Re
0.3758 0.8726 0.3758 Re
0.8726 0.3758 0.3758 Re
0.7500 0.7500 0.7500 Au
```

---

(two)
# Re5Au

An optimized crystal structure of Re5Au (PBE, Alexandria via LeMat-Bulk).

size of the total moment: 0.00 μB per formula unit
crystal system: orthorhombic
DOS at the Fermi energy: 0.8890 states/eV/atom

POSCAR file:
```
Re5Au
1.0
4.4753 0.0000 0.0000
0.0000 1.4025 7.3017
0.0000 -1.4025 7.3017
Re Au
5 1
direct
0.0000 0.0000 0.0000 Re
0.0000 0.3250 0.3250 Re
0.0000 0.6621 0.6621 Re
0.5000 0.2169 0.2169 Re
0.5000 0.5565 0.5565 Re
0.5000 0.8854 0.8854 Au
```

---

(three)
# Re5Au

An optimized crystal structure of Re5Au (PBE, Alexandria via LeMat-Bulk).

size of the total moment: 0.00 μB per formula unit
crystal system: hexagonal
DOS at the Fermi energy: 0.7679 states/eV/atom

POSCAR file:
```
Re5Au
1.0
5.0799 0.0000 0.0000
-2.5400 4.3993 0.0000
0.0000 0.0000 4.6062
Re Au
5 1
direct
0.0000 0.5000 0.0000 Re
0.3333 0.6667 0.5000 Re
0.5000 0.0000 0.0000 Re
0.5000 0.5000 0.0000 Re
0.6667 0.3333 0.5000 Re
0.0000 0.0000 0.5000 Au
```

---

(four)
# Re5Au

An optimized crystal structure of Re5Au (PBE, Alexandria via LeMat-Bulk).

size of the total moment: 0.00 μB per formula unit
crystal system: monoclinic
DOS at the Fermi energy: 0.7959 states/eV/atom

POSCAR file:
```
Re5Au
1.0
5.0777 -1.4077 0.0000
5.0777 1.4077 0.0000
-1.6413 0.0000 6.4133
Re Au
5 1
direct
0.0000 0.0000 0.0000 Re
0.0495 0.0495 0.6220 Re
0.3367 0.3367 0.6836 Re
0.3896 0.3896 0.2786 Re
0.7230 0.7230 0.9483 Re
0.6681 0.6681 0.3441 Au
```

---

Stability, descending: (two), (four), (one), (three)

---

(one)
# ReRhAu2

An optimized crystal structure of ReRhAu2 (PBE, Alexandria via LeMat-Bulk).

size of the total moment: 0.00 μB per formula unit
crystal system: monoclinic
DOS at the Fermi energy: 0.7533 states/eV/atom

POSCAR file:
```
ReRhAu2
1.0
4.6202 -1.4008 0.0000
4.6202 1.4008 0.0000
-0.7830 0.0000 4.9738
Re Rh Au
1 1 2
direct
0.0000 0.0000 0.0000 Re
0.7386 0.7386 0.1928 Rh
0.2491 0.2491 0.7222 Au
0.4931 0.4931 0.4787 Au
```

---

(two)
# ReRhAu2

An optimized crystal structure of ReRhAu2 (PBE, Alexandria via LeMat-Bulk).

size of the total moment: 0.00 μB per formula unit
crystal system: monoclinic
DOS at the Fermi energy: 1.1184 states/eV/atom

POSCAR file:
```
ReRhAu2
1.0
4.7024 -1.4046 0.0000
4.7024 1.4046 0.0000
-0.8015 0.0000 4.8474
Re Rh Au
1 1 2
direct
0.0000 0.0000 0.0000 Re
0.5000 0.5000 0.5000 Rh
0.2529 0.2529 0.7523 Au
0.7471 0.7471 0.2477 Au
```

---

(three)
# ReRhAu2

An optimized crystal structure of ReRhAu2 (PBE, Alexandria via LeMat-Bulk).

size of the total moment: 0.00 μB per formula unit
crystal system: orthorhombic
DOS at the Fermi energy: 0.8599 states/eV/atom

POSCAR file:
```
ReRhAu2
1.0
2.8094 0.0000 0.0000
0.0000 3.9288 0.0000
0.0000 0.0000 5.8740
Re Rh Au
1 1 2
direct
0.0000 0.0000 0.0000 Re
0.5000 0.5000 0.1931 Rh
0.0000 0.0000 0.4684 Au
0.5000 0.5000 0.7311 Au
```

---

Stability, descending: (three), (one), (two)

---

(one)
# ReRhAu2

An optimized crystal structure of ReRhAu2 (PBE, Alexandria via LeMat-Bulk).

size of the total moment: 0.00 μB per formula unit
crystal system: cubic
DOS at the Fermi energy: 0.5414 states/eV/atom

POSCAR file:
```
ReRhAu2
1.0
0.0000 3.1814 3.1814
3.1814 0.0000 3.1814
3.1814 3.1814 0.0000
Re Rh Au
1 1 2
direct
0.0000 0.0000 0.0000 Re
0.5000 0.5000 0.5000 Rh
0.2500 0.2500 0.2500 Au
0.7500 0.7500 0.7500 Au
```

---

(two)
# ReRhAu2

An optimized crystal structure of ReRhAu2 (PBE, Alexandria via LeMat-Bulk).

size of the total moment: 0.00 μB per formula unit
crystal system: tetragonal
DOS at the Fermi energy: 0.8926 states/eV/atom

POSCAR file:
```
ReRhAu2
1.0
2.8289 0.0000 0.0000
0.0000 2.8289 0.0000
0.0000 0.0000 7.9970
Re Rh Au
1 1 2
direct
0.0000 0.0000 0.0000 Re
0.0000 0.0000 0.5000 Rh
0.5000 0.5000 0.2495 Au
0.5000 0.5000 0.7505 Au
```

---

Stability, descending: (two), (one)

---

(one)
# ReRhAu2

An optimized crystal structure of ReRhAu2 (PBE, Alexandria via LeMat-Bulk).

size of the total moment: 0.00 μB per formula unit
crystal system: orthorhombic
DOS at the Fermi energy: 1.0541 states/eV/atom

POSCAR file:
```
ReRhAu2
1.0
2.7913 0.0000 0.0000
0.0000 4.0495 0.0000
0.0000 0.0000 5.6698
Re Rh Au
1 1 2
direct
0.0000 0.0000 0.0000 Re
0.0000 0.0000 0.5000 Rh
0.5000 0.5000 0.2481 Au
0.5000 0.5000 0.7519 Au
```

---

(two)
# ReRhAu2

An optimized crystal structure of ReRhAu2 (PBE, Alexandria via LeMat-Bulk).

size of the total moment: 0.00 μB per formula unit
crystal system: cubic
DOS at the Fermi energy: 0.6802 states/eV/atom

POSCAR file:
```
ReRhAu2
1.0
0.0000 3.1947 3.1947
3.1947 0.0000 3.1947
3.1947 3.1947 0.0000
Re Rh Au
1 1 2
direct
0.0000 0.0000 0.0000 Re
0.2500 0.2500 0.2500 Rh
0.5000 0.5000 0.5000 Au
0.7500 0.7500 0.7500 Au
```

---

Stability, descending: (one), (two)